# 1
Below is a relaxed Li2LaMg2Cd2 crystal, with properties calculated at the GGA-PBE level. Values from VASP.

Structure (Quantum ESPRESSO input):
```
&SYSTEM
  ibrav = 0, nat = 7, ntyp = 4
/
ATOMIC_SPECIES
Li 6.94 Li.upf
La 138.91 La.upf
Mg 24.30 Mg.upf
Cd 112.41 Cd.upf
ATOMIC_POSITIONS crystal
Li 0.148 0.296 0.446
Li 0.852 0.704 0.554
La 0.000 0.000 0.000
Mg 0.576 0.151 0.724
Mg 0.424 0.849 0.276
Cd 0.730 0.460 0.195
Cd 0.270 0.540 0.805
CELL_PARAMETERS angstrom
5.073 0.000 0.000
-2.537 4.378 -0.407
0.000 -2.175 7.695
```

Computed properties:
V, Å³/cell: 166
Size of the total moment, μB/f.u.: 0.00
ΔH_f (0 K), eV/atom: -0.203
Fermi-level density of states, states/eV/f.u.: 4.145
Space-group type: No. 12
E_tot, eV/f.u.: -15.20


# 2
Below is a relaxed KP2W2 crystal, with properties calculated at the GGA-PBE level. Values from VASP.

Structure (Quantum ESPRESSO input):
```
&SYSTEM
  ibrav = 0, nat = 5, ntyp = 3
/
ATOMIC_SPECIES
P 30.97 P.upf
K 39.10 K.upf
W 183.84 W.upf
ATOMIC_POSITIONS crystal
P 0.750 0.250 0.500
P 0.250 0.750 0.500
K 0.000 0.000 0.000
W 0.364 0.364 0.271
W 0.636 0.636 0.729
CELL_PARAMETERS angstrom
-3.121 -3.421 -0.815
3.512 -2.977 -0.955
0.362 -4.355 3.329
```

Computed properties:
V, Å³/cell: 97
Size of the total moment, μB/f.u.: 0.00
ΔH_f (0 K), eV/atom: 0.239
Fermi-level density of states, states/eV/f.u.: 3.034
Space-group type: No. 139
E_tot, eV/f.u.: -36.63


# 3
Below is a relaxed Sc2Al5CoCu2 crystal, with properties calculated at the GGA-PBE level. Values from VASP.

Structure (Quantum ESPRESSO input):
```
&SYSTEM
  ibrav = 0, nat = 20, ntyp = 4
/
ATOMIC_SPECIES
Sc 44.96 Sc.upf
Al 26.98 Al.upf
Co 58.93 Co.upf
Cu 63.55 Cu.upf
ATOMIC_POSITIONS crystal
Sc 0.000 0.676 0.176
Sc 0.000 0.324 0.824
Sc 0.000 0.176 0.324
Sc 0.000 0.824 0.676
Al 0.500 0.190 0.053
Al 0.500 0.810 0.947
Al 0.500 0.053 0.810
Al 0.500 0.690 0.447
Al 0.500 0.947 0.190
Al 0.500 0.310 0.553
Al 0.500 0.553 0.690
Al 0.500 0.447 0.310
Al 0.500 0.500 0.000
Al 0.500 0.000 0.500
Co 0.000 0.000 0.000
Co 0.000 0.500 0.500
Cu 0.000 0.130 0.630
Cu 0.000 0.870 0.370
Cu 0.000 0.630 0.870
Cu 0.000 0.370 0.130
CELL_PARAMETERS angstrom
-3.044 0.655 1.032
-3.202 -0.330 -9.231
-1.740 -9.573 0.946
```

Computed properties:
V, Å³/cell: 313
Size of the total moment, μB/f.u.: 0.00
ΔH_f (0 K), eV/atom: -0.374
Fermi-level density of states, states/eV/f.u.: 4.706
Space-group type: No. 127
E_tot, eV/f.u.: -50.41


# 4
Below is a relaxed La3Re2 crystal, with properties calculated at the GGA-PBE level. Values from VASP.

Structure (Quantum ESPRESSO input):
```
&SYSTEM
  ibrav = 0, nat = 5, ntyp = 2
/
ATOMIC_SPECIES
La 138.91 La.upf
Re 186.21 Re.upf
ATOMIC_POSITIONS crystal
La 0.000 0.000 0.000
La 0.789 0.789 0.789
La 0.211 0.211 0.211
Re 0.603 0.603 0.603
Re 0.397 0.397 0.397
CELL_PARAMETERS angstrom
12.086 -1.731 0.001
12.086 1.731 0.001
11.838 0.000 2.989
```

Computed properties:
V, Å³/cell: 125
Size of the total moment, μB/f.u.: 0.00
ΔH_f (0 K), eV/atom: 0.691
Fermi-level density of states, states/eV/f.u.: 5.048
Space-group type: No. 166
Excess energy over the best structure of this formula in the dataset, eV per atom: 0.539
E_tot, eV/f.u.: -36.22


# 5
Below is a relaxed TcSbHPt2 crystal, with properties calculated at the GGA-PBE level. Values from VASP.

Structure (Quantum ESPRESSO input):
```
&SYSTEM
  ibrav = 0, nat = 5, ntyp = 4
/
ATOMIC_SPECIES
Sb 121.76 Sb.upf
Tc 98.00 Tc.upf
Pt 195.08 Pt.upf
H 1.01 H.upf
ATOMIC_POSITIONS crystal
Sb 0.500 0.500 0.500
Tc 0.000 0.500 0.000
Pt 0.000 0.000 0.500
Pt 0.500 0.000 0.000
H 0.000 0.000 0.000
CELL_PARAMETERS angstrom
-0.678 3.710 1.422
-2.135 0.967 -3.541
-3.417 -1.280 1.711
```

Computed properties:
V, Å³/cell: 69
Size of the total moment, μB/f.u.: 0.00
Fermi-level density of states, states/eV/f.u.: 3.851
Space-group type: No. 123
E_tot, eV/f.u.: -29.60


# 6
Below is a relaxed ScTl crystal, with properties calculated at the GGA-PBE level. Values from VASP.

Structure (Quantum ESPRESSO input):
```
&SYSTEM
  ibrav = 0, nat = 8, ntyp = 2
/
ATOMIC_SPECIES
Sc 44.96 Sc.upf
Tl 204.38 Tl.upf
ATOMIC_POSITIONS crystal
Sc 0.000 0.000 0.250
Sc 0.000 0.000 0.750
Sc 0.333 0.667 0.750
Sc 0.667 0.333 0.250
Tl 0.333 0.667 0.082
Tl 0.667 0.333 0.582
Tl 0.667 0.333 0.918
Tl 0.333 0.667 0.418
CELL_PARAMETERS angstrom
2.641 -4.575 0.000
2.641 4.575 0.000
0.000 0.000 8.959
```

Computed properties:
V, Å³/cell: 217
Size of the total moment, μB/f.u.: 0.80
ΔH_f (0 K), eV/atom: 0.246
Fermi-level density of states, states/eV/f.u.: 2.468
Space-group type: No. 194
E_tot, eV/f.u.: -8.21